Entry 1:
# Cr5As

An optimized crystal structure of Cr5As (GGA-PBEsol, Alexandria).

Properties
The magnetization comes out at 0.00 μB per formula unit. For the energy relative to the elements, the calculation gives -0.008 eV per atom.

abc: 2.9211 4.6626 5.6203
angles: 107.90 90.00 108.25
With the nearest neighbours (Å) after each atom.
Fractional positions:
Cr  0.1725  0.3451  0.3330  6 Cr 2.42-2.47, 2 As 2.51
Cr  0.8314  0.6628  0.1602  6 Cr 2.40-2.46, 2 As 2.48
Cr  0.8275  0.6549  0.6670  6 Cr 2.42-2.47, 2 As 2.51
Cr  0.1686  0.3372  0.8398  6 Cr 2.40-2.46, 2 As 2.48
Cr  0.5000  0.0000  0.0000  8 Cr 2.46-2.47
As  0.5000  0.0000  0.5000  10 Cr 2.48-2.74

Entry 2:
# Cr2NiMo

An optimized crystal structure of Cr2NiMo (GGA-PBEsol, Alexandria).

Properties
The magnetization comes out at 1.31 μB per formula unit. For the energy relative to the elements, the calculation gives 0.244 eV per atom.

abc: 4.1063 4.1063 4.1063
angles: 60.00 60.00 60.00
With the nearest neighbours (Å) after each atom.
Fractional positions:
Cr  0.0000  0.0000  0.0000  4 Ni 2.51, 4 Cr 2.51
Cr  0.2500  0.2500  0.2500  4 Cr 2.51, 4 Mo 2.51
Mo  0.5000  0.5000  0.5000  4 Cr 2.51, 4 Ni 2.51
Ni  0.7500  0.7500  0.7500  4 Mo 2.51, 4 Cr 2.51

Entry 3:
# PuAl3Pd2

An optimized crystal structure of PuAl3Pd2 (GGA-PBEsol, Alexandria).

Properties
The magnetization comes out at 5.17 μB per formula unit. For the energy relative to the elements, the calculation gives -0.560 eV per atom.

abc: 4.1514 5.3712 5.3712
angles: 120.00 90.00 90.00
With the nearest neighbours (Å) after each atom.
Fractional positions:
Pd  0.0000  0.6667  0.3333  6 Al 2.59
Al  0.5000  0.5000  0.5000  4 Pd 2.59, 4 Al 2.69
Pu  0.0000  0.0000  0.0000  6 Pd 3.10, 12 Al 3.39
Al  0.5000  0.5000  0.0000  4 Pd 2.59, 4 Al 2.69
Pd  0.0000  0.3333  0.6667  6 Al 2.59
Al  0.5000  0.0000  0.5000  4 Pd 2.59, 4 Al 2.69

Entry 4:
# Be3Br

An optimized crystal structure of Be3Br (GGA-PBEsol, Alexandria).

Properties
As for the uncorrected formation energy: 441 kJ/mol of formula units. The magnetization comes out at 0.00 μB per formula unit.

abc: 3.7587 3.7587 3.7587
angles: 90.00 90.00 90.00
With the nearest neighbours (Å) after each atom.
Fractional positions:
Be  0.5000  0.5000  0.0000  8 Be 2.66, 4 Br 2.66
Br  0.0000  0.0000  0.0000  12 Be 2.66
Be  0.5000  0.0000  0.5000  8 Be 2.66, 4 Br 2.66
Be  0.0000  0.5000  0.5000  4 Br 2.66, 8 Be 2.66

Entry 5:
# Ba2TlRe

An optimized crystal structure of Ba2TlRe (GGA-PBEsol, Alexandria).

Properties
The magnetization comes out at 0.00 μB per formula unit. For the energy relative to the elements, the calculation gives 0.921 eV per atom.

abc: 3.1761 4.5773 9.2494
angles: 94.67 90.00 110.30
With the nearest neighbours (Å) after each atom.
Fractional positions:
Ba  0.2538  0.5075  0.2873  3 Re 3.06-3.18, 2 Ba 3.18
Ba  0.7462  0.4925  0.7127  3 Re 3.06-3.18, 2 Ba 3.18
Tl  0.5000  0.0000  0.0000  2 Tl 3.18, 2 Ba 3.54
Re  0.0000  0.0000  0.5000  6 Ba 3.06-3.18, 2 Re 3.18

Entry 6:
# K2CuP

An optimized crystal structure of K2CuP (GGA-PBEsol, Alexandria).

Properties
The magnetization comes out at 0.00 μB per formula unit. For the energy relative to the elements, the calculation gives -0.244 eV per atom.

abc: 4.1503 5.6111 5.8042
angles: 118.91 110.95 90.00
With the nearest neighbours (Å) after each atom.
Fractional positions:
K  0.0327  0.0327  0.0655  4 K 3.25-3.64, 4 Cu 3.29-3.58, 1 P 3.50
Cu  0.8473  0.3473  0.6945  2 P 2.15
K  0.2103  0.7103  0.4207  4 K 3.25-3.64, 4 P 3.36-3.48, 1 Cu 3.37
P  0.4097  0.4097  0.8193  2 Cu 2.15

Entry 7:
# RbSrSn3

An optimized crystal structure of RbSrSn3 (GGA-PBEsol, Alexandria).

Properties
The magnetization comes out at 0.00 μB per formula unit. For the energy relative to the elements, the calculation gives 0.741 eV per atom.

abc: 5.8589 5.8589 5.8589
angles: 90.00 90.00 90.00
With the nearest neighbours (Å) after each atom.
Fractional positions:
Sn  0.0000  0.0000  0.5000  2 Rb 2.93
Sr  0.5000  0.5000  0.5000  12 Sn 4.14
Sn  0.0000  0.5000  0.0000  2 Rb 2.93
Sn  0.5000  0.0000  0.0000  2 Rb 2.93
Rb  0.0000  0.0000  0.0000  6 Sn 2.93

Entry 8:
# MnOs3

An optimized crystal structure of MnOs3 (GGA-PBEsol, Alexandria).

Properties
The magnetization comes out at 0.56 μB per formula unit. For the energy relative to the elements, the calculation gives 0.070 eV per atom.

abc: 4.6201 5.3356 12.8684
angles: 90.00 90.00 90.00
With the nearest neighbours (Å) after each atom.
Fractional positions:
Os  0.6670  0.2509  0.3368  4 Mn 2.61-2.72, 8 Os 2.62-2.72
Os  0.9957  0.7494  0.0000  4 Mn 2.59-2.70, 8 Os 2.62-2.71
Mn  0.4967  0.5000  0.5000  12 Os 2.61-2.70
Mn  0.1623  0.0000  0.3370  12 Os 2.59-2.72
Os  0.0043  0.7506  0.5000  4 Mn 2.59-2.70, 8 Os 2.62-2.71
Os  0.4937  0.0000  0.5000  4 Mn 2.60-2.67, 8 Os 2.62-2.71
Os  0.9957  0.2506  0.0000  4 Mn 2.59-2.70, 8 Os 2.62-2.71
Mn  0.5033  0.0000  0.0000  12 Os 2.61-2.70
Os  0.1673  0.5000  0.3350  4 Mn 2.61-2.69, 8 Os 2.62-2.70
Os  0.3330  0.2491  0.1632  4 Mn 2.61-2.72, 8 Os 2.62-2.72
Mn  0.8377  0.5000  0.8370  12 Os 2.59-2.72
Os  0.3330  0.7509  0.8368  4 Mn 2.61-2.72, 8 Os 2.62-2.72
Os  0.3330  0.7509  0.1632  4 Mn 2.61-2.72, 8 Os 2.62-2.72
Os  0.8327  0.0000  0.1650  4 Mn 2.61-2.69, 8 Os 2.62-2.70
Os  0.6670  0.7491  0.6632  4 Mn 2.61-2.72, 8 Os 2.62-2.72
Os  0.5063  0.5000  0.0000  4 Mn 2.60-2.67, 8 Os 2.62-2.71
Os  0.1673  0.5000  0.6650  4 Mn 2.61-2.69, 8 Os 2.62-2.70
Os  0.0043  0.2494  0.5000  4 Mn 2.59-2.70, 8 Os 2.62-2.71
Mn  0.1623  0.0000  0.6630  12 Os 2.59-2.72
Mn  0.8377  0.5000  0.1630  12 Os 2.59-2.72
Os  0.8327  0.0000  0.8350  4 Mn 2.61-2.69, 8 Os 2.62-2.70
Os  0.3330  0.2491  0.8368  4 Mn 2.61-2.72, 8 Os 2.62-2.72
Os  0.6670  0.2509  0.6632  4 Mn 2.61-2.72, 8 Os 2.62-2.72
Os  0.6670  0.7491  0.3368  4 Mn 2.61-2.72, 8 Os 2.62-2.72

Entry 9:
# In2HgGe

An optimized crystal structure of In2HgGe (GGA-PBEsol, Alexandria).

Properties
The magnetization comes out at 0.00 μB per formula unit. For the energy relative to the elements, the calculation gives 0.088 eV per atom.

abc: 5.0703 5.0703 5.0703
angles: 60.00 60.00 60.00
With the nearest neighbours (Å) after each atom.
Fractional positions:
In  0.2500  0.2500  0.2500  4 Ge 3.10, 4 Hg 3.10
Ge  0.0000  0.0000  0.0000  8 In 3.10
In  0.7500  0.7500  0.7500  4 Ge 3.10, 4 Hg 3.10
Hg  0.5000  0.5000  0.5000  8 In 3.10

Entry 10:
# ZrH

An optimized crystal structure of ZrH (GGA-PBEsol, Alexandria).

Properties
The magnetization comes out at 0.00 μB per formula unit. The calculation puts the total DFT energy (no corrections) at -6.56 eV/atom.

abc: 3.2161 3.3704 3.2161
angles: 61.50 90.00 118.50
With the nearest neighbours (Å) after each atom.
Fractional positions:
H  0.7500  0.5000  0.7500  4 Zr 2.03
Zr  0.0000  0.0000  0.0000  4 H 2.03

Entry 11:
# BaCd2Pb

An optimized crystal structure of BaCd2Pb (GGA-PBEsol, Alexandria).

Properties
The magnetization comes out at 0.00 μB per formula unit. For the energy relative to the elements, the calculation gives -0.279 eV per atom.

abc: 4.8541 4.8541 6.6892
angles: 68.73 68.73 60.00
With the nearest neighbours (Å) after each atom.
Fractional positions:
Cd  0.7347  0.7347  0.7960  3 Cd 2.87, 3 Pb 3.04
Ba  0.2501  0.2501  0.2497  4 Pb 3.52-3.94, 7 Cd 3.52-3.94
Pb  0.4662  0.4662  0.6013  6 Cd 3.04-3.33
Cd  0.0340  0.0340  0.8979  3 Cd 2.87

Entry 12:
# YZrB3

An optimized crystal structure of YZrB3 (GGA-PBEsol, Alexandria).

Properties
The magnetization comes out at 0.00 μB per formula unit. For the energy relative to the elements, the calculation gives 1.550 eV per atom.

abc: 4.2619 4.2619 4.2619
angles: 90.00 90.00 90.00
With the nearest neighbours (Å) after each atom.
Fractional positions:
Y  0.0000  0.0000  0.0000  6 B 2.13
B  0.5000  0.0000  0.0000  2 Y 2.13
B  0.0000  0.5000  0.0000  2 Y 2.13
Zr  0.5000  0.5000  0.5000  12 B 3.01
B  0.0000  0.0000  0.5000  2 Y 2.13

Entry 13:
# Mg2BeCr

An optimized crystal structure of Mg2BeCr (GGA-PBEsol, Alexandria).

Properties
The magnetization comes out at 0.00 μB per formula unit. For the energy relative to the elements, the calculation gives 0.551 eV per atom.

abc: 2.7745 2.7745 9.1205
angles: 81.25 81.25 60.00
With the nearest neighbours (Å) after each atom.
Fractional positions:
Mg  0.9909  0.9909  0.0273  3 Cr 2.76, 6 Mg 2.77
Mg  0.7598  0.7598  0.7206  3 Be 2.73, 6 Mg 2.77
Cr  0.2409  0.2409  0.2773  3 Be 2.39
Be  0.5084  0.5084  0.4748  3 Cr 2.39

Entry 14:
# Cs2ZrZnFe

An optimized crystal structure of Cs2ZrZnFe (GGA-PBEsol, Alexandria).

Properties
The magnetization comes out at 0.44 μB per formula unit. For the energy relative to the elements, the calculation gives 1.184 eV per atom.

abc: 4.3691 6.9105 6.9105
angles: 90.00 90.00 90.00
With the nearest neighbours (Å) after each atom.
Fractional positions:
Zn  0.5000  0.5000  0.5000  8 Cs 4.09, 2 Zn 4.37
Cs  0.0000  0.5000  0.0000  2 Zr 3.46
Zr  0.0000  0.0000  0.0000  2 Fe 2.18
Cs  0.0000  0.0000  0.5000  2 Zr 3.46
Fe  0.5000  0.0000  0.0000  2 Zr 2.18

Entry 15:
# Ag2HgPt

An optimized crystal structure of Ag2HgPt (GGA-PBEsol, Alexandria).

Properties
The magnetization comes out at 0.00 μB per formula unit. For the energy relative to the elements, the calculation gives -0.010 eV per atom.

abc: 2.9050 4.0301 5.7663
angles: 90.00 90.00 90.00
With the nearest neighbours (Å) after each atom.
Fractional positions:
Ag  0.5000  0.5000  0.2411  2 Pt 2.82-2.95, 6 Ag 2.85-2.91, 4 Hg 2.92
Pt  0.5000  0.5000  0.7525  6 Ag 2.82-2.95, 4 Hg 2.86, 2 Pt 2.91
Ag  0.0000  0.0000  0.9998  2 Hg 2.84-2.92, 6 Ag 2.85-2.91, 4 Pt 2.86
Hg  0.0000  0.0000  0.5066  6 Ag 2.84-2.92, 4 Pt 2.86, 2 Hg 2.91

Entry 16:
# SrSn3Br

An optimized crystal structure of SrSn3Br (GGA-PBEsol, Alexandria).

Properties
As for the uncorrected formation energy: 57 kJ/mol of formula units. The magnetization comes out at 0.00 μB per formula unit.

abc: 5.5382 5.5382 5.5382
angles: 90.00 90.00 90.00
With the nearest neighbours (Å) after each atom.
Fractional positions:
Br  0.0000  0.0000  0.0000  6 Sn 2.77
Sr  0.5000  0.5000  0.5000  12 Sn 3.92
Sn  0.5000  0.0000  0.0000  2 Br 2.77
Sn  0.0000  0.5000  0.0000  2 Br 2.77
Sn  0.0000  0.0000  0.5000  2 Br 2.77

Entry 17:
# SrPb3

An optimized crystal structure of SrPb3 (GGA-PBEsol, Alexandria).

Properties
The magnetization comes out at 0.00 μB per formula unit. For the energy relative to the elements, the calculation gives -0.333 eV per atom.

abc: 4.8866 4.8866 6.1265
angles: 113.50 113.50 90.00
With the nearest neighbours (Å) after each atom.
Fractional positions:
Sr  0.0000  0.0000  0.0000  12 Pb 3.46-3.52
Pb  0.7500  0.2500  0.5000  8 Pb 3.46-3.52, 4 Sr 3.52
Pb  0.2500  0.7500  0.5000  8 Pb 3.46-3.52, 4 Sr 3.52
Pb  0.5000  0.5000  0.0000  4 Sr 3.46, 8 Pb 3.52

Entry 18:
# KCa2Re

An optimized crystal structure of KCa2Re (GGA-PBEsol, Alexandria).

Properties
The magnetization comes out at 0.75 μB per formula unit. For the energy relative to the elements, the calculation gives 0.869 eV per atom.

abc: 3.3991 3.3991 12.0757
angles: 81.91 81.91 60.00
With the nearest neighbours (Å) after each atom.
Fractional positions:
K  0.5000  0.5000  0.5000  6 K 3.40
Ca  0.2727  0.2727  0.1818  3 Re 2.92
Re  0.0000  0.0000  0.0000  6 Ca 2.92
Ca  0.7273  0.7273  0.8182  3 Re 2.92

Entry 19:
# NbB3Pt

An optimized crystal structure of NbB3Pt (GGA-PBEsol, Alexandria).

Properties
The magnetization comes out at 0.00 μB per formula unit. For the energy relative to the elements, the calculation gives 1.829 eV per atom.

abc: 4.1453 4.1453 4.1453
angles: 90.00 90.00 90.00
With the nearest neighbours (Å) after each atom.
Fractional positions:
Pt  0.5000  0.5000  0.5000  12 B 2.93
B  0.0000  0.5000  0.0000  2 Nb 2.07
B  0.5000  0.0000  0.0000  2 Nb 2.07
Nb  0.0000  0.0000  0.0000  6 B 2.07
B  0.0000  0.0000  0.5000  2 Nb 2.07

Entry 20:
# Be3GeI

An optimized crystal structure of Be3GeI (GGA-PBEsol, Alexandria).

Properties
As for the uncorrected formation energy: 812 kJ/mol of formula units. The magnetization comes out at 0.00 μB per formula unit.

abc: 4.6605 4.6605 4.6605
angles: 90.00 90.00 90.00
With the nearest neighbours (Å) after each atom.
Fractional positions:
Be  0.5000  0.0000  0.0000  2 I 2.33
Ge  0.5000  0.5000  0.5000  12 Be 3.30
Be  0.0000  0.0000  0.5000  2 I 2.33
Be  0.0000  0.5000  0.0000  2 I 2.33
I  0.0000  0.0000  0.0000  6 Be 2.33